First-principles (GGA-PBE) data for a geometry-optimized Na3Mn2Cl8 structure, as listed in Alexandria via LeMat-Bulk.

a = 7.867 Å, b = 7.867 Å, c = 6.859 Å
α = 97.74°, β = 97.74°, γ = 70.49°
Positions (direct):
Na  0.000  0.000  0.000
Na  0.258  0.742  0.500
Na  0.742  0.258  0.500
Mn  0.209  0.209  0.397
Mn  0.791  0.791  0.603
Cl  0.072  0.660  0.768
Cl  0.129  0.129  0.671
Cl  0.340  0.928  0.232
Cl  0.376  0.376  0.333
Cl  0.624  0.624  0.667
Cl  0.660  0.072  0.768
Cl  0.871  0.871  0.329
Cl  0.928  0.340  0.232

Values from the calculation:
- Formation energy from raw total energies: -1.340 eV per atom


First-principles (GGA-PBE) data for a geometry-optimized Na2MnCl5 structure, as listed in Alexandria via LeMat-Bulk.

a = 7.042 Å, b = 7.042 Å, c = 12.251 Å
α = 90.00°, β = 90.00°, γ = 133.84°
Positions (direct):
Na  0.162  0.838  0.579
Na  0.162  0.838  0.921
Na  0.838  0.162  0.079
Na  0.838  0.162  0.421
Mn  0.183  0.817  0.250
Mn  0.817  0.183  0.750
Cl  0.059  0.941  0.120
Cl  0.059  0.941  0.380
Cl  0.298  0.702  0.750
Cl  0.308  0.692  0.113
Cl  0.308  0.692  0.387
Cl  0.692  0.308  0.613
Cl  0.692  0.308  0.887
Cl  0.702  0.298  0.250
Cl  0.941  0.059  0.620
Cl  0.941  0.059  0.880

Values from the calculation:
- Formation energy from raw total energies: -1.368 eV per atom


First-principles (GGA-PBE) data for a geometry-optimized NaMn2Cl structure, as listed in Alexandria via LeMat-Bulk.

a = 9.500 Å, b = 9.500 Å, c = 9.500 Å
α = 149.58°, β = 149.58°, γ = 43.56°
Positions (direct):
Na  0.375  0.625  0.750
Na  0.625  0.375  0.250
Mn  0.000  0.000  0.000
Mn  0.000  0.000  0.500
Mn  0.000  0.500  0.000
Mn  0.500  0.000  0.500
Cl  0.125  0.875  0.250
Cl  0.875  0.125  0.750

Values from the calculation:
- Energy above the lowest structure with this stoichiometry: 0.000 eV/f.u.
- Formation energy from raw total energies: 0.582 eV per atom


First-principles (GGA-PBE) data for a geometry-optimized Na2MnCl structure, as listed in Alexandria via LeMat-Bulk.

a = 6.666 Å, b = 6.666 Å, c = 6.666 Å
α = 105.55°, β = 105.55°, γ = 117.64°
Positions (direct):
Na  0.070  0.625  0.945
Na  0.375  0.320  0.445
Na  0.680  0.125  0.055
Na  0.875  0.930  0.555
Mn  0.250  0.750  0.500
Mn  0.500  0.500  0.000
Cl  0.000  0.000  0.000
Cl  0.750  0.250  0.500

Values from the calculation:
- Energy above the lowest structure with this stoichiometry: 0.000 eV/f.u.
- Formation energy from raw total energies: -0.072 eV per atom